No. 1
BaMnIr after structural relaxation, computed with GGA-PBE.

Formation enthalpy at 0 K in eV/atom: 0.073
D(E_F) in states/eV/f.u.: 4.4
SG: C2/m (12)
Crystal system: monoclinic
Energy in eV for the cell shown: -39.466
Energy relative to the lowest polymorph listed for this composition in eV/atom: 0.060

Cell: 4.573 4.573 8.839 Å, 92.54 92.57 101.71°
Positions (direct):
Ba 0.646 0.637 0.040
Ba 0.177 0.170 0.451
Mn 0.105 0.097 0.849
Mn 0.718 0.710 0.642
Ir 0.203 0.612 0.745
Ir 0.620 0.195 0.745

No. 2
ZrBiAs3 after structural relaxation, computed with GGA-PBE.

Formation enthalpy at 0 K in eV/atom: 0.224
D(E_F) in states/eV/f.u.: 5.3
SG: Pm-3m (221)
Crystal system: cubic
Energy in eV for the cell shown: -25.258
Energy relative to the lowest polymorph listed for this composition in eV/atom: 0.000

Cell: 5.200 5.200 5.200 Å, 90.00 90.00 90.00°
Positions (direct):
Zr 0.000 0.000 0.000
As 0.500 0.000 0.000
As 0.000 0.000 0.500
As 0.000 0.500 0.000
Bi 0.500 0.500 0.500

No. 3
CeErHgPb after structural relaxation, computed with GGA-PBE.

Formation enthalpy at 0 K in eV/atom: -0.382
D(E_F) in states/eV/f.u.: 9.0
SG: I-4m2 (119)
Crystal system: tetragonal
Energy in eV for the cell shown: -16.034

Cell: 5.068 5.067 5.596 Å, 116.92 116.92 90.00°
Positions (direct):
Er 0.250 0.750 0.500
Hg 0.500 0.500 0.000
Pb 0.000 0.000 0.000
Ce 0.750 0.250 0.500

No. 4
Ti2CdH after structural relaxation, computed with GGA-PBE.

D(E_F) in states/eV/f.u.: 4.1
SG: R-3m (166)
Crystal system: trigonal
Energy in eV for the cell shown: -20.515
Energy relative to the lowest polymorph listed for this composition in eV/atom: 0.000

Cell: 3.001 3.001 7.495 Å, 78.45 78.45 60.00°
Positions (direct):
Ti 0.220 0.220 0.339
Ti 0.780 0.780 0.661
Cd 0.000 0.000 0.000
H 0.500 0.500 0.500

No. 5
MgAu2Cl after structural relaxation, computed with GGA-PBE.

ΔE_f (raw) in eV/f.u.: -0.84
D(E_F) in states/eV/f.u.: 0.4
SG: R-3m (166)
Crystal system: trigonal
Energy in eV for the cell shown: -10.837
Energy relative to the lowest polymorph listed for this composition in eV/atom: 0.442

Cell: 8.610 8.610 8.610 Å, 21.93 21.93 21.93°
Positions (direct):
Au 0.004 0.004 0.004
Au 0.496 0.496 0.496
Mg 0.750 0.750 0.750
Cl 0.250 0.250 0.250

No. 6
Pm3BiAs after structural relaxation, computed with GGA-PBE.

Formation enthalpy at 0 K in eV/atom: -0.608
D(E_F) in states/eV/f.u.: 5.5
SG: Pm-3m (221)
Crystal system: cubic
Energy in eV for the cell shown: -25.820
Energy relative to the lowest polymorph listed for this composition in eV/atom: 0.385

Cell: 5.545 5.545 5.545 Å, 90.00 90.00 90.00°
Positions (direct):
Pm 0.000 0.500 0.000
Pm 0.000 0.000 0.500
Pm 0.500 0.000 0.000
Bi 0.500 0.500 0.500
As 0.000 0.000 0.000

No. 7
CaSi2Os after structural relaxation, computed with GGA-PBE.

ΔE_f (raw) in eV/f.u.: -0.45
D(E_F) in states/eV/f.u.: 1.9
SG: Pmmm (47)
Crystal system: orthorhombic
Energy in eV for the cell shown: -24.524

Cell: 4.231 3.333 5.171 Å, 89.95 90.00 90.00°
Positions (direct):
Ca 0.500 0.250 0.250
Os 0.500 0.750 0.750
Si 0.000 0.751 0.986
Si 0.000 0.749 0.514

No. 8
PmHo2ScIn4 after structural relaxation, computed with GGA-PBE.

Formation enthalpy at 0 K in eV/atom: -0.438
D(E_F) in states/eV/f.u.: 4.1
SG: R-3m (166)
Crystal system: trigonal
Energy in eV for the cell shown: -34.699

Cell: 5.266 5.266 9.173 Å, 73.32 73.32 60.00°
Positions (direct):
In 0.128 0.128 0.617
In 0.378 0.378 0.866
In 0.872 0.872 0.383
In 0.622 0.622 0.134
Ho 0.751 0.751 0.747
Ho 0.249 0.249 0.253
Sc 0.500 0.500 0.500
Pm 0.000 0.000 0.000

No. 9
Y2ErPt9 after structural relaxation, computed with GGA-PBE.

Formation enthalpy at 0 K in eV/atom: -1.024
D(E_F) in states/eV/f.u.: 12.0
SG: P4/mmm (123)
Crystal system: tetragonal
Energy in eV for the cell shown: -84.140

Cell: 4.118 4.118 12.352 Å, 90.00 90.00 90.00°
Positions (direct):
Pt 0.500 0.500 0.667
Pt 0.500 0.000 0.835
Pt 0.500 0.000 0.500
Pt 0.500 0.500 0.333
Pt 0.000 0.500 0.835
Pt 0.500 0.000 0.165
Pt 0.500 0.500 0.000
Pt 0.000 0.500 0.165
Pt 0.000 0.500 0.500
Er 0.000 0.000 0.000
Y 0.000 0.000 0.333
Y 0.000 0.000 0.667

No. 10
Pr15Sm4Er after structural relaxation, computed with GGA-PBE.

Formation enthalpy at 0 K in eV/atom: 0.012
D(E_F) in states/eV/f.u.: 29.4
SG: P4/mmm (123)
Crystal system: tetragonal
Energy in eV for the cell shown: -94.885

Cell: 5.223 5.223 26.001 Å, 90.00 90.00 90.00°
Positions (direct):
Pr 0.500 0.000 0.701
Pr 0.000 0.500 0.701
Pr 0.500 0.500 0.000
Pr 0.500 0.000 0.299
Pr 0.500 0.500 0.400
Pr 0.500 0.500 0.199
Pr 0.500 0.500 0.600
Pr 0.500 0.000 0.099
Pr 0.500 0.000 0.901
Pr 0.000 0.500 0.099
Pr 0.500 0.000 0.500
Pr 0.000 0.500 0.299
Pr 0.500 0.500 0.801
Pr 0.000 0.500 0.500
Pr 0.000 0.500 0.901
Sm 0.000 0.000 0.801
Sm 0.000 0.000 0.400
Sm 0.000 0.000 0.199
Sm 0.000 0.000 0.600
Er 0.000 0.000 0.000

No. 11
Zr3CoH4 after structural relaxation, computed with GGA-PBE.

D(E_F) in states/eV/f.u.: 5.2
SG: Pmn2_1 (31)
Crystal system: orthorhombic
Energy in eV for the cell shown: -96.222

Cell: 5.253 5.812 5.916 Å, 90.00 90.00 90.00°
Positions (direct):
H 0.096 0.883 0.000
H 0.615 0.703 0.716
H 0.189 0.820 0.500
H 0.596 0.117 0.500
H 0.615 0.703 0.284
H 0.115 0.297 0.784
H 0.689 0.180 0.000
H 0.115 0.297 0.216
Zr 0.502 0.361 0.749
Zr 0.502 0.361 0.251
Zr 0.002 0.639 0.751
Zr 0.002 0.639 0.249
Zr 0.995 0.125 0.500
Zr 0.495 0.875 0.000
Co 0.502 0.849 0.500
Co 0.002 0.151 0.000

No. 12
In2OF after structural relaxation, computed with GGA-PBE.

ΔE_f (raw) in eV/f.u.: -3.40
D(E_F) in states/eV/f.u.: 3.7
SG: Fm-3m (225)
Crystal system: cubic
Energy in eV for the cell shown: -15.704
Energy relative to the lowest polymorph listed for this composition in eV/atom: 0.274

Cell: 4.513 4.513 4.513 Å, 60.00 60.00 60.00°
Positions (direct):
In 0.250 0.250 0.250
In 0.750 0.750 0.750
F 0.500 0.500 0.500
O 0.000 0.000 0.000

No. 13
CrCo6Ni8 after structural relaxation, computed with GGA-PBE.

Formation enthalpy at 0 K in eV/atom: 0.262
D(E_F) in states/eV/f.u.: 15.7
SG: R-3 (148)
Crystal system: trigonal
Energy in eV for the cell shown: -94.584

Cell: 5.729 5.729 5.729 Å, 75.24 75.24 75.24°
Positions (direct):
Ni 0.620 0.950 0.148
Ni 0.380 0.050 0.852
Ni 0.237 0.237 0.237
Ni 0.050 0.852 0.380
Ni 0.763 0.763 0.763
Ni 0.148 0.620 0.950
Ni 0.950 0.148 0.620
Ni 0.852 0.380 0.050
Co 0.197 0.442 0.596
Co 0.803 0.558 0.404
Co 0.596 0.197 0.442
Co 0.404 0.803 0.558
Co 0.442 0.596 0.197
Co 0.558 0.404 0.803
Cr 0.000 0.000 0.000

No. 14
TaCr2Co after structural relaxation, computed with GGA-PBE.

Formation enthalpy at 0 K in eV/atom: 0.198
D(E_F) in states/eV/f.u.: 5.6
SG: Fm-3m (225)
Crystal system: cubic
Energy in eV for the cell shown: -37.411
Energy relative to the lowest polymorph listed for this composition in eV/atom: 0.190

Cell: 4.205 4.205 4.205 Å, 60.00 60.00 60.00°
Positions (direct):
Ta 0.500 0.500 0.500
Cr 0.250 0.250 0.250
Cr 0.750 0.750 0.750
Co 0.000 0.000 0.000